[1]
Density functional theory data (PBE) for SnBi3Pb after structural relaxation.

Results
Formation energy in eV/f.u.: 0.5
Mass density in g/cm3: 10.00
Space group: Cmcm, No. 63
ΔE to the lowest computed polymorph in meV/atom: 25

Unit cell a=8.4971 b=8.4971 c=6.7628 alpha=90.00 beta=90.00 gamma=139.59
Fractional positions:
Sn 0.0101 0.9899 0.7500
Sn 0.9899 0.0101 0.2500
Bi 0.1930 0.8070 0.5057
Bi 0.1930 0.8070 0.9943
Bi 0.3948 0.6052 0.2500
Bi 0.6052 0.3948 0.7500
Bi 0.8070 0.1930 0.0057
Bi 0.8070 0.1930 0.4943
Pb 0.3938 0.6062 0.7500
Pb 0.6062 0.3938 0.2500

---

[2]
Density functional theory data (PBE) for La3Sm4Y3 after structural relaxation.

Results
Formation energy in eV/f.u.: 0.8
Mass density in g/cm3: 6.07
Space group: Amm2, No. 38

Unit cell a=3.8295 b=9.5822 c=9.5822 alpha=90.33 beta=90.00 gamma=90.00
Fractional positions:
La 0.0000 0.0000 0.0000
La 0.5000 0.3353 0.8250
La 0.5000 0.8250 0.3353
Sm 0.5000 0.2044 0.2044
Sm 0.5000 0.4549 0.4549
Sm 0.5000 0.6987 0.9535
Sm 0.5000 0.9535 0.6987
Y 0.0000 0.1593 0.4996
Y 0.0000 0.4996 0.1593
Y 0.0000 0.6573 0.6573

---

[3]
Density functional theory data (PBE) for PmY after structural relaxation.

Results
Formation energy in eV/f.u.: 0.2
Mass density in g/cm3: 5.75
Space group: Pm-3m, No. 221
ΔE to the lowest computed polymorph in meV/atom: 89

Unit cell a=4.0722 b=4.0722 c=4.0722 alpha=90.00 beta=90.00 gamma=90.00
Fractional positions:
Pm 0.0000 0.0000 0.0000
Y 0.5000 0.5000 0.5000

---

[4]
Density functional theory data (PBE) for LaNiPt3Rh after structural relaxation.

Results
Formation energy in eV/f.u.: -2.1
Mass density in g/cm3: 13.75
Space group: Cmcm, No. 63

Unit cell a=7.4936 b=7.4936 c=5.4771 alpha=90.00 beta=90.00 gamma=135.92
Fractional positions:
La 0.1816 0.8184 0.7500
La 0.8184 0.1816 0.2500
Ni 0.1350 0.8650 0.2500
Ni 0.8650 0.1350 0.7500
Pt 0.2415 0.2415 0.0000
Pt 0.2415 0.2415 0.5000
Pt 0.3276 0.6724 0.2500
Pt 0.6724 0.3276 0.7500
Pt 0.7585 0.7585 0.0000
Pt 0.7585 0.7585 0.5000
Rh 0.3736 0.6264 0.7500
Rh 0.6264 0.3736 0.2500

---

The calculation returns the following volume values, one per record and in order: 31.655; 35.162; 33.764; 17.829 Å³/atom.